Dy3Pu2S4: optimized geometry, PBE.

Output
**Total energy**: -8.179 eV per atom
**Volume**: 207.9 Å³ per cell
**Total magnetization**: 1.350 μB/atom
**ρ**: 8.81 Mg/m³
**Uncorrected formation energy**: -1625 meV/atom

Cell: 3.8442 6.7491 8.7664 Å, 74.95 77.33 73.45°
Each line ends with the local moment (μB).
Sites, in units of the cell vectors:
1 Dy 0.0000 0.0000 0.0000  0.00
2 S 0.3958 0.3039 0.9045  0.00
3 Pu 0.4048 0.7839 0.4066  5.47
4 Dy 0.7971 0.6073 0.7985  0.11
5 S 0.1957 0.9095 0.6990  -0.05
6 Dy 0.2029 0.3927 0.2015  0.11
7 S 0.6042 0.6961 0.0955  0.00
8 S 0.8043 0.0905 0.3010  -0.05
9 Pu 0.5952 0.2161 0.5934  5.47

Dy2Pu2S7: optimized geometry, PBE.

Output
**Total energy**: -7.720 eV per atom
**Volume**: 232.6 Å³ per cell
**Total magnetization**: 0.731 μB/atom
**ρ**: 7.41 Mg/m³
**Uncorrected formation energy**: -1651 meV/atom

Cell: 3.9004 8.4107 8.4107 Å, 61.08 76.59 76.59°
Each line ends with the local moment (μB).
Sites, in units of the cell vectors:
1 Dy 0.0000 0.7867 0.2132  -0.02
2 S 0.3894 0.7172 0.5039  -0.11
3 Pu 0.2571 0.3306 0.1553  4.67
4 S 0.8608 0.4169 0.8616  -0.15
5 S 0.5000 0.0090 0.9910  -0.15
6 S 0.6106 0.4961 0.2828  -0.11
7 Pu 0.7429 0.8447 0.6694  4.67
8 S 0.1850 0.7077 0.9222  -0.21
9 S 0.8150 0.0778 0.2923  -0.21
10 S 0.1392 0.1384 0.5831  -0.15
11 Dy 0.5000 0.3286 0.6714  0.00

The lowest total magnetization belongs to which entry?
Dy2Pu2S7

Number 1 is which compound?
Dy3Pu2S4